[1]
An optimized crystal structure of PrEu3, computed with GGA-PBE.

Calculated values
- Energy of formation from the pure elements: 0.0717 eV/atom

Lattice parameters (Å, degrees): 3.7794 6.2323 6.7793 90.00 90.00 90.00
With the nearest neighbours (Å) after each atom.
Space group Pmm2 (No. 25)
Inequivalent atoms, fractional coordinates:
Pr  0.0000  0.0000  0.0000 [1 per cell]  10 Eu 3.76-3.89, 2 Pr 3.78
Eu  0.0000  0.5000  0.3096 [1 per cell]  2 Pr 3.76, 10 Eu 3.78-3.95
Eu  0.5000  0.0000  0.5021 [1 per cell]  8 Eu 3.78-3.87, 4 Pr 3.87-3.89
Eu  0.5000  0.5000  0.8208 [1 per cell]  8 Eu 3.78-3.95, 4 Pr 3.84

***

[2]
An optimized crystal structure of LiOsRu3, computed with GGA-PBE.

Calculated values
- Energy of formation from the pure elements: 1.0386 eV/atom

Lattice parameters (Å, degrees): 4.0400 4.0400 4.0400 90.00 90.00 90.00
With the nearest neighbours (Å) after each atom.
Space group Pm-3m (No. 221)
Inequivalent atoms, fractional coordinates:
Li  0.0000  0.0000  0.0000 [1 per cell]  6 Ru 2.02
Os  0.5000  0.5000  0.5000 [1 per cell]  12 Ru 2.86
Ru  0.0000  0.0000  0.5000 [3 per cell]  2 Li 2.02

***

[3]
An optimized crystal structure of La2YNi9, computed with GGA-PBE.

Calculated values
- Energy of formation from the pure elements: -0.3395 eV/atom

Lattice parameters (Å, degrees): 4.9983 4.9983 25.1234 90.00 90.00 120.00
With the nearest neighbours (Å) after each atom.
Space group R-3m (No. 166, hexagonal axes)
Inequivalent atoms, fractional coordinates:
La  0.0000  0.0000  0.1377 [6 per cell]  9 Ni 2.90-2.98, 3 La 3.23
Y  0.0000  0.0000  0.0000 [3 per cell]  18 Ni 2.89-3.19
Ni  0.0000  0.0000  0.3326 [6 per cell]  6 Ni 2.45-2.47
Ni  0.0000  0.0000  0.5000 [3 per cell]  6 Ni 2.63
Ni  0.0012  0.5006  0.0792 [18 per cell]  7 Ni 2.45-2.63

***

[4]
An optimized crystal structure of Pu5In3Sn3, computed with GGA-PBE.

Calculated values
- Energy of formation from the pure elements: 0.1608 eV/atom

Lattice parameters (Å, degrees): 10.7584 10.7584 3.1209 90.00 90.00 120.00
With the nearest neighbours (Å) after each atom.
Space group P-62m (No. 189)
Inequivalent atoms, fractional coordinates:
Pu  0.0000  0.6598  0.0000 [3 per cell]  2 Pu 3.12, 2 Sn 3.16, 2 In 3.17
Pu  0.3333  0.6667  0.0000 [2 per cell]  2 Pu 3.12
In  0.0000  0.1614  0.0000 [3 per cell]  4 In 3.01-3.12, 2 Sn 3.05, 2 Pu 3.17
Sn  0.0000  0.4048  0.5000 [3 per cell]  2 In 3.05, 2 Sn 3.12, 2 Pu 3.16

***

[5]
An optimized crystal structure of Dy2Pd3Au8, computed with GGA-PBE.

Calculated values
- Energy of formation from the pure elements: -0.3288 eV/atom

Lattice parameters (Å, degrees): 10.8492 9.7706 5.0866 90.00 105.31 90.00
With the nearest neighbours (Å) after each atom.
Space group C2/m (No. 12)
Inequivalent atoms, fractional coordinates:
Dy  0.2125  0.0000  0.3312 [4 per cell]  9 Au 2.81-3.04, 1 Pd 3.01
Pd  0.0000  0.2452  0.0000 [4 per cell]  8 Au 2.85-2.94
Pd  0.0000  0.5000  0.5000 [2 per cell]  8 Au 2.82-2.92, 2 Dy 3.01
Au  0.0743  0.0000  0.7796 [4 per cell]  5 Au 2.79-3.09, 3 Dy 2.81-3.04, 2 Pd 2.85
Au  0.1361  0.2505  0.5819 [8 per cell]  3 Au 2.79-2.85, 3 Pd 2.82-2.94, 2 Dy 2.91-2.98
Au  0.1365  0.5000  0.0763 [4 per cell]  2 Au 2.86-3.03, 4 Pd 2.87-2.92, 2 Dy 2.96-3.03

***

[6]
An optimized crystal structure of CuC3S, computed with GGA-PBE.

Calculated values
- Formation energy (no corrections): 14.968 eV/f.u.

Lattice parameters (Å, degrees): 3.8798 3.8798 3.8798 90.00 90.00 90.00
With the nearest neighbours (Å) after each atom.
Space group Pm-3m (No. 221)
Inequivalent atoms, fractional coordinates:
Cu  0.0000  0.0000  0.0000 [1 per cell]  6 C 1.94
C  0.0000  0.0000  0.5000 [3 per cell]  2 Cu 1.94
S  0.5000  0.5000  0.5000 [1 per cell]  12 C 2.74

***

[7]
An optimized crystal structure of GeB2I, computed with GGA-PBE.

Calculated values
- Formation energy (no corrections): 7.827 eV/f.u.

Lattice parameters (Å, degrees): 6.2952 6.2952 6.2952 90.00 90.00 90.00
With the nearest neighbours (Å) after each atom.
Space group Fm-3m (No. 225)
Inequivalent atoms, fractional coordinates:
Ge  0.0000  0.0000  0.0000 [4 per cell]  8 B 2.73
B  0.2500  0.2500  0.2500 [8 per cell]  4 I 2.73, 4 Ge 2.73
I  0.0000  0.0000  0.5000 [4 per cell]  8 B 2.73

***

[8]
An optimized crystal structure of CaReBr2, computed with GGA-PBE.

Calculated values
- Formation energy (no corrections): -0.134 eV/f.u.

Lattice parameters (Å, degrees): 18.0213 3.3167 3.3178 90.00 90.14 90.00
With the nearest neighbours (Å) after each atom.
Space group Cm (No. 8)
Inequivalent atoms, fractional coordinates:
Ca  0.0000  0.0000  0.0000 [2 per cell]  4 Br 2.93
Re  0.1311  0.5000  0.5012 [2 per cell]  4 Br 2.62
Br  0.1963  0.0000  0.0022 [2 per cell]  4 Re 2.62
Br  0.4028  0.0000  0.4986 [2 per cell]  4 Ca 2.93

***

[9]
An optimized crystal structure of MnBeGa2Cu, computed with GGA-PBE.

Calculated values
- Energy of formation from the pure elements: 0.9551 eV/atom

Lattice parameters (Å, degrees): 4.4936 4.4936 4.4744 90.00 90.00 90.00
With the nearest neighbours (Å) after each atom.
Space group P4/mmm (No. 123)
Inequivalent atoms, fractional coordinates:
Mn  0.0000  0.0000  0.0000 [1 per cell]  2 Cu 2.24, 4 Ga 2.25
Be  0.5000  0.5000  0.5000 [1 per cell]  8 Ga 3.17, 4 Cu 3.18
Ga  0.0000  0.5000  0.0000 [2 per cell]  2 Mn 2.25
Cu  0.0000  0.0000  0.5000 [1 per cell]  2 Mn 2.24

***

[10]
An optimized crystal structure of Nb3GeAs, computed with GGA-PBE.

Calculated values
- Energy of formation from the pure elements: -0.1050 eV/atom

Lattice parameters (Å, degrees): 10.8245 10.2759 6.9825 90.00 109.86 90.00
With the nearest neighbours (Å) after each atom.
Space group C2/c (No. 15)
Inequivalent atoms, fractional coordinates:
Nb  0.1116  0.1666  0.0948 [8 per cell]  2 As 2.60-2.64, 3 Ge 2.70-2.79, 1 Nb 2.78
Nb  0.1611  0.1557  0.5709 [8 per cell]  1 As 2.57, 3 Nb 2.76-2.87, 1 Ge 2.82
Nb  0.1894  0.4971  0.1087 [8 per cell]  2 As 2.54-2.58, 1 Nb 2.76
Ge  0.0000  0.0222  0.7500 [4 per cell]  8 Nb 2.70-2.96
Ge  0.0000  0.3680  0.2500 [4 per cell]  6 Nb 2.79-2.99
As  0.1312  0.3272  0.8196 [8 per cell]  5 Nb 2.54-2.64, 1 As 2.67

***

[11]
An optimized crystal structure of SmSi3Os3, computed with GGA-PBE.

Calculated values
- Formation energy (no corrections): 0.290 eV/f.u.

Lattice parameters (Å, degrees): 6.5336 6.5336 6.5336 90.00 90.00 90.00
With the nearest neighbours (Å) after each atom.
Space group Pm-3n (No. 223)
Inequivalent atoms, fractional coordinates:
Sm  0.0000  0.0000  0.0000 [2 per cell]  12 Os 3.65, 12 Si 3.65
Si  0.0000  0.2500  0.5000 [6 per cell]  4 Os 2.31
Os  0.0000  0.5000  0.2500 [6 per cell]  4 Si 2.31

***

[12]
An optimized crystal structure of Na3Np2US6, computed with GGA-PBE.

Calculated values
- Formation energy (no corrections): -16.354 eV/f.u.

Lattice parameters (Å, degrees): 6.9163 11.9800 7.0724 90.00 109.03 90.00
With the nearest neighbours (Å) after each atom.
Space group C2/m (No. 12)
Inequivalent atoms, fractional coordinates:
Na  0.0000  0.0000  0.0000 [2 per cell]  6 S 2.93-2.95
Na  0.0000  0.3328  0.0000 [4 per cell]  6 S 2.93-2.95
Np  0.0000  0.1667  0.5000 [4 per cell]  6 S 2.77
U  0.0000  0.5000  0.5000 [2 per cell]  6 S 2.75
S  0.2413  0.3348  0.7284 [8 per cell]  1 U 2.75, 2 Np 2.77, 3 Na 2.93-2.95
S  0.2456  0.0000  0.7279 [4 per cell]  1 U 2.75, 2 Np 2.77, 3 Na 2.93-2.95